# ZrRu2Cl, optimized geometry, DFT PBE-GGA
# * formation energy from raw total energies: 0.21 eV per atom
# * symmetry: Imm2
# * energy relative to the lowest polymorph listed for this composition: 353 meV/atom
data_ZrRu2Cl
_symmetry_space_group_name_H-M 'P 1'
_symmetry_Int_Tables_number 1
_cell_length_a 5.370
_cell_length_b 5.370
_cell_length_c 5.370
_cell_angle_alpha 147.01
_cell_angle_beta 129.55
_cell_angle_gamma 61.61
loop_
_symmetry_equiv_pos_as_xyz
'x,y,z'
loop_
_atom_site_label
_atom_site_type_symbol
_atom_site_fract_x
_atom_site_fract_y
_atom_site_fract_z
Cl1 Cl 0.242 0.742 0.500
Ru1 Ru 0.013 0.013 0.000
Ru2 Ru 0.767 0.267 0.500
Zr1 Zr 0.477 0.477 0.000

***

# ZrRu2Cl, optimized geometry, DFT PBE-GGA
# * formation energy from raw total energies: 0.02 eV per atom
# * symmetry: R3m
# * energy relative to the lowest polymorph listed for this composition: 167 meV/atom
data_ZrRu2Cl
_symmetry_space_group_name_H-M 'P 1'
_symmetry_Int_Tables_number 1
_cell_length_a 9.216
_cell_length_b 9.216
_cell_length_c 9.216
_cell_angle_alpha 18.50
_cell_angle_beta 18.50
_cell_angle_gamma 18.50
loop_
_symmetry_equiv_pos_as_xyz
'x,y,z'
loop_
_atom_site_label
_atom_site_type_symbol
_atom_site_fract_x
_atom_site_fract_y
_atom_site_fract_z
Cl1 Cl 0.757 0.757 0.757
Ru1 Ru 0.992 0.992 0.992
Ru2 Ru 0.254 0.254 0.254
Zr1 Zr 0.496 0.496 0.496

***

# ZrRu2Cl, optimized geometry, DFT PBE-GGA
# * formation energy from raw total energies: 0.27 eV per atom
# * symmetry: Cmmm
# * energy relative to the lowest polymorph listed for this composition: 414 meV/atom
data_ZrRu2Cl
_symmetry_space_group_name_H-M 'P 1'
_symmetry_Int_Tables_number 1
_cell_length_a 3.025
_cell_length_b 3.025
_cell_length_c 8.355
_cell_angle_alpha 90.00
_cell_angle_beta 90.00
_cell_angle_gamma 115.52
loop_
_symmetry_equiv_pos_as_xyz
'x,y,z'
loop_
_atom_site_label
_atom_site_type_symbol
_atom_site_fract_x
_atom_site_fract_y
_atom_site_fract_z
Cl1 Cl 0.500 0.500 0.750
Ru1 Ru 0.000 0.000 0.003
Ru2 Ru 0.000 0.000 0.497
Zr1 Zr 0.500 0.500 0.250

***

# ZrRuCl2, optimized geometry, DFT PBE-GGA
# * formation energy from raw total energies: -0.43 eV per atom
# * symmetry: Imm2
# * energy relative to the lowest polymorph listed for this composition: 169 meV/atom
data_ZrRuCl2
_symmetry_space_group_name_H-M 'P 1'
_symmetry_Int_Tables_number 1
_cell_length_a 6.823
_cell_length_b 6.823
_cell_length_c 6.823
_cell_angle_alpha 151.57
_cell_angle_beta 144.30
_cell_angle_gamma 46.26
loop_
_symmetry_equiv_pos_as_xyz
'x,y,z'
loop_
_atom_site_label
_atom_site_type_symbol
_atom_site_fract_x
_atom_site_fract_y
_atom_site_fract_z
Ru1 Ru 0.528 0.528 0.000
Zr1 Zr 0.669 0.169 0.500
Cl1 Cl 0.026 0.026 0.000
Cl2 Cl 0.276 0.776 0.500

***

# ZrRu2Cl2, optimized geometry, DFT PBE-GGA
# * formation energy from raw total energies: 0.34 eV per atom
# * symmetry: P4/mbm
# * energy relative to the lowest polymorph listed for this composition: 83 meV/atom
data_ZrRu2Cl2
_symmetry_space_group_name_H-M 'P 1'
_symmetry_Int_Tables_number 1
_cell_length_a 7.311
_cell_length_b 7.311
_cell_length_c 3.216
_cell_angle_alpha 90.00
_cell_angle_beta 90.00
_cell_angle_gamma 90.00
loop_
_symmetry_equiv_pos_as_xyz
'x,y,z'
loop_
_atom_site_label
_atom_site_type_symbol
_atom_site_fract_x
_atom_site_fract_y
_atom_site_fract_z
Ru1 Ru 0.115 0.615 0.500
Ru2 Ru 0.615 0.885 0.500
Ru3 Ru 0.885 0.385 0.500
Ru4 Ru 0.385 0.115 0.500
Zr1 Zr 0.000 0.000 0.000
Zr2 Zr 0.500 0.500 0.000
Cl1 Cl 0.283 0.783 0.000
Cl2 Cl 0.783 0.717 0.000
Cl3 Cl 0.717 0.217 0.000
Cl4 Cl 0.217 0.283 0.000

***

# ZrRu2Cl, optimized geometry, DFT PBE-GGA
# * formation energy from raw total energies: 0.20 eV per atom
# * symmetry: C2/m
# * energy relative to the lowest polymorph listed for this composition: 351 meV/atom
data_ZrRu2Cl
_symmetry_space_group_name_H-M 'P 1'
_symmetry_Int_Tables_number 1
_cell_length_a 4.769
_cell_length_b 5.335
_cell_length_c 2.979
_cell_angle_alpha 75.62
_cell_angle_beta 86.04
_cell_angle_gamma 115.32
loop_
_symmetry_equiv_pos_as_xyz
'x,y,z'
loop_
_atom_site_label
_atom_site_type_symbol
_atom_site_fract_x
_atom_site_fract_y
_atom_site_fract_z
Cl1 Cl 0.500 0.500 0.000
Ru1 Ru 0.000 0.000 0.000
Ru2 Ru 0.500 0.000 0.500
Zr1 Zr 0.000 0.500 0.500